Entry 1:
Computed, not measured: an optimized crystal structure of HoTmAl2 at the GGA-PBEsol level of DFT.

Values from the calculation:
size of the total moment	0.00	Bohr magnetons per cell
VASP energy	-4.91	eV per atom
SG	Fm-3m (225)

a b c (Å): 4.980 4.980 4.980
angles (deg): 60.00 60.00 60.00
Positions (direct):
Ho  0.000  0.000  0.000
Tm  0.500  0.500  0.500
Al  0.250  0.250  0.250
Al  0.750  0.750  0.750


Entry 2:
Computed, not measured: an optimized crystal structure of YHoAl2 at the GGA-PBEsol level of DFT.

Values from the calculation:
size of the total moment	0.00	Bohr magnetons per cell
VASP energy	-5.41	eV per atom
SG	Fm-3m (225)

a b c (Å): 5.017 5.017 5.017
angles (deg): 60.00 60.00 60.00
Positions (direct):
Y  0.000  0.000  0.000
Ho  0.500  0.500  0.500
Al  0.250  0.250  0.250
Al  0.750  0.750  0.750


Entry 3:
Computed, not measured: an optimized crystal structure of Ho4ZrAl15 at the GGA-PBEsol level of DFT.

Values from the calculation:
size of the total moment	0.00	Bohr magnetons per cell
VASP energy	-4.96	eV per atom
SG	P4/mmm (123)

a b c (Å): 4.172 4.172 20.883
angles (deg): 90.00 90.00 90.00
Positions (direct):
Ho  0.000  0.000  0.101
Ho  0.000  0.000  0.303
Ho  0.000  0.000  0.697
Ho  0.000  0.000  0.899
Zr  0.000  0.000  0.500
Al  0.000  0.500  0.000
Al  0.000  0.500  0.202
Al  0.000  0.500  0.403
Al  0.000  0.500  0.597
Al  0.000  0.500  0.798
Al  0.500  0.000  0.000
Al  0.500  0.000  0.202
Al  0.500  0.000  0.403
Al  0.500  0.000  0.597
Al  0.500  0.000  0.798
Al  0.500  0.500  0.101
Al  0.500  0.500  0.303
Al  0.500  0.500  0.500
Al  0.500  0.500  0.697
Al  0.500  0.500  0.899


Entry 4:
Computed, not measured: an optimized crystal structure of AlI3 at the GGA-PBEsol level of DFT.

Values from the calculation:
size of the total moment	0.00	Bohr magnetons per cell
SG	P2_1/c (14)
raw formation energy	-57	kJ per mole of atoms

a b c (Å): 10.177 6.735 13.027
angles (deg): 90.00 108.61 90.00
Positions (direct):
Al  0.187  0.002  0.046
Al  0.187  0.498  0.546
Al  0.813  0.502  0.454
Al  0.813  0.998  0.954
I  0.001  0.709  0.393
I  0.001  0.791  0.893
I  0.315  0.229  0.960
I  0.315  0.271  0.460
I  0.319  0.721  0.697
I  0.319  0.779  0.197
I  0.681  0.221  0.803
I  0.681  0.279  0.303
I  0.685  0.729  0.540
I  0.685  0.771  0.040
I  0.999  0.209  0.107
I  0.999  0.291  0.607